Sc4TlGa3: optimized geometry, PBE.

Summary:
As for the density of states at the Fermi level: 3.7 states/eV per cell. The total energy is -40.80 eV per cell. For the energy of formation, the calculation gives -504 meV per atom.

Unit cell a=3.391 b=3.391 c=13.986 alpha=90.00 beta=90.00 gamma=90.00
Space group P4/mmm (No. 123)
Inequivalent atoms, fractional coordinates:
Sc1 0.000 0.000 0.118
Sc2 0.000 0.000 0.357
Tl1 0.500 0.500 0.500
Ga1 0.500 0.500 0.000
Ga2 0.500 0.500 0.237